This record from the Alexandria database describes a relaxed KBa2CoPd crystal. The functional is GGA-PBE.

Cell: 5.625 5.656 5.625 Å, 90.00 90.00 90.00°
Fractional coordinates of all 5 atoms:
Ba: 0.500 0.000 0.000
Pd: 0.500 0.500 0.500
K: 0.000 0.500 0.000
Co: 0.000 0.000 0.000
Ba: 0.000 0.000 0.500

## Properties
* SG: P4/mmm

This record from the Alexandria database describes a relaxed KBa2CoPt crystal. The functional is GGA-PBE.

Cell: 6.270 4.929 6.270 Å, 90.00 90.00 90.00°
Fractional coordinates of all 5 atoms:
Co: 0.000 0.500 0.000
K: 0.500 0.500 0.500
Pt: 0.000 0.000 0.000
Ba: 0.000 0.000 0.500
Ba: 0.500 0.000 0.000

## Properties
* SG: P4/mmm

This record from the Alexandria database describes a relaxed KBaCoSe2 crystal. The functional is GGA-PBE.

Cell: 5.838 4.688 5.838 Å, 90.00 90.00 90.00°
Fractional coordinates of all 5 atoms:
Se: 0.000 0.000 0.500
Se: 0.500 0.000 0.000
Co: 0.000 0.500 0.000
Ba: 0.500 0.500 0.500
K: 0.000 0.000 0.000

## Properties
* SG: P4/mmm
* raw formation energy: 0.2123 eV per atom

This record from the Alexandria database describes a relaxed KBaTa2Co crystal. The functional is GGA-PBE.

Cell: 4.741 6.213 4.741 Å, 90.00 90.00 90.00°
Fractional coordinates of all 5 atoms:
Ta: 0.500 0.000 0.000
Ba: 0.000 0.500 0.000
Co: 0.000 0.000 0.000
K: 0.500 0.500 0.500
Ta: 0.000 0.000 0.500

## Properties
* SG: P4/mmm

This record from the Alexandria database describes a relaxed K2BaTiCo crystal. The functional is GGA-PBE.

Cell: 6.614 4.332 6.614 Å, 90.00 90.00 90.00°
Fractional coordinates of all 5 atoms:
Ti: 0.000 0.500 0.000
Ba: 0.500 0.500 0.500
K: 0.500 0.000 0.000
Co: 0.000 0.000 0.000
K: 0.000 0.000 0.500

## Properties
* SG: P4/mmm

This record from the Alexandria database describes a relaxed BaLaCo crystal. The functional is GGA-PBE.

Cell: 4.173 4.173 7.006 Å, 90.00 90.00 120.00°
Fractional coordinates of all 3 atoms:
Ba: 0.000 0.000 0.084
La: 0.333 0.667 0.543
Co: 0.667 0.333 0.372

## Properties
* SG: P3m1
* E above lowest polymorph: 0.000 eV/atom

This record from the Alexandria database describes a relaxed BaLaCo2 crystal. The functional is GGA-PBE.

Cell: 3.631 5.156 5.156 Å, 90.00 90.00 90.00°
Fractional coordinates of all 4 atoms:
Ba: 0.500 0.000 0.500
La: 0.500 0.500 0.000
Co: 0.000 0.500 0.500
Co: 0.000 0.000 0.000

## Properties
* SG: P4/mmm
* E above lowest polymorph: 0.396 eV/atom

This record from the Alexandria database describes a relaxed BaLaCo2 crystal. The functional is GGA-PBE.

Cell: 6.179 6.179 6.179 Å, 140.65 140.65 56.87°
Fractional coordinates of all 4 atoms:
Co: 0.000 0.000 0.000
La: 0.500 0.500 0.000
Ba: 0.750 0.250 0.500
Co: 0.250 0.750 0.500

## Properties
* SG: I-4m2
* E above lowest polymorph: 0.558 eV/atom

no.,density of states at the Fermi level (states/eV/atom),M_tot (μB/f.u.),energy (eV/f.u.)
1,0.688,0.00,-14.90
2,1.260,1.66,-17.57
3,0.959,2.04,-16.03
4,1.747,1.63,-28.46
5,1.020,0.26,-15.23
6,0.512,0.00,-13.58
7,1.578,1.58,-19.24
8,1.615,1.51,-18.59